A relaxed structure of IrOsN2. Source: Alexandria via LeMat-Bulk, functional PBE.

## Properties
Space group: Fm-3m, No. 225
Crystal system: cubic
N(E_F) (states/eV/cell): 2.68
VASP energy (eV for the cell shown): -30.07
M_tot (μB per formula unit): 0.0
Formation energy from raw total energies (eV per atom): 1.669

a b c (Å): 3.873 3.873 3.873
angles (deg): 60.00 60.00 60.00
Sites, in units of the cell vectors:
N: 0.250 0.250 0.250
N: 0.750 0.750 0.750
Ir: 0.500 0.500 0.500
Os: 0.000 0.000 0.000